Record 1
{"formula": "Os2Au2C", "functional": "PBE-GGA", "state": "optimized geometry", "crystal_system": "tetragonal", "polymorph_energy_mev_per_atom": 1507, "formation_energy_mev_per_atom": 2147, "lattice_angstrom": [[-1.281, -3.094, -1.382], [2.774, -1.806, 1.472], [-2.784, -3.425, 5.502]], "species": ["Os", "Os", "C", "Au", "Au"], "fractional_positions": [[0.414, 0.414, 0.172], [0.586, 0.586, 0.828], [0.000, 0.000, 0.000], [0.750, 0.250, 0.500], [0.250, 0.750, 0.500]]}


Record 2
{"formula": "SrGe2PdRh", "functional": "PBE-GGA", "state": "optimized geometry", "crystal_system": "tetragonal", "formation_energy_mev_per_atom": -712, "lattice_angstrom": [[-3.606, -2.212, -0.800], [2.243, -2.791, -2.391], [1.563, -0.504, 5.930]], "species": ["Sr", "Ge", "Ge", "Pd", "Rh"], "fractional_positions": [[0.000, 0.000, 0.000], [0.629, 0.629, 0.257], [0.371, 0.371, 0.743], [0.250, 0.750, 0.500], [0.750, 0.250, 0.500]]}


Record 3
{"formula": "GdErTh", "functional": "PBE-GGA", "state": "optimized geometry", "crystal_system": "tetragonal", "polymorph_energy_mev_per_atom": 2, "formation_energy_mev_per_atom": 23, "lattice_angstrom": [[3.576, 0.000, 0.000], [0.000, 3.576, 0.000], [-1.788, -1.788, 7.472]], "species": ["Gd", "Th", "Er"], "fractional_positions": [[0.328, 0.328, 0.656], [0.666, 0.666, 0.331], [0.006, 0.006, 0.013]]}


Record 4
{"formula": "MnSiOs2", "functional": "PBE-GGA", "state": "optimized geometry", "crystal_system": "orthorhombic", "raw_formation_energy_ev_per_atom": -0.06, "lattice_angstrom": [[-0.151, -0.984, -3.814], [0.104, -2.666, 0.684], [-4.928, -1.468, 0.573]], "species": ["Mn", "Os", "Os", "Si"], "fractional_positions": [[0.500, 0.703, 0.719], [0.000, 0.058, 0.008], [0.500, 0.440, 0.244], [0.000, 0.298, 0.529]]}


Q: What is the formula in the second record?
A: SrGe2PdRh